# Cr3FeO

Cr3FeO after structural relaxation (PBE with a Hubbard U, Alexandria).

Properties
Final energy: -6.29 eV per atom
N(E_F): 7.44 states/eV per cell
E above lowest polymorph: 0 meV/atom

```
Cr3FeO
1.0
4.2257 0.0000 0.0000
0.0000 4.2257 0.0000
0.0000 0.0000 4.2257
Cr Fe O
3 1 1
direct
0.0000 0.0000 0.5000
0.0000 0.5000 0.0000
0.5000 0.0000 0.0000
0.5000 0.5000 0.5000
0.0000 0.0000 0.0000
```